#1
# LiPr4Te5

A relaxed LiPr4Te5 crystal (PBE, the Alexandria database).

a = 6.3713 Å, b = 7.7769 Å, c = 7.7769 Å
α = 80.34°, β = 65.82°, γ = 65.82°
Closest atoms and distances in Å follow each position.
Fractional coordinates of all 10 atoms:
Li: 0.0296 0.0000 0.0000  5 Te 3.00-3.03
Pr: 0.4016 0.3987 0.7935  6 Te 3.17-3.28
Pr: 0.8003 0.7935 0.6013  6 Te 3.17-3.28
Pr: 0.1951 0.2065 0.3987  6 Te 3.17-3.28
Pr: 0.5938 0.6013 0.2065  6 Te 3.17-3.28
Te: 0.9016 0.3815 0.8104  1 Li 3.03, 5 Pr 3.17-3.28
Te: 0.2831 0.8104 0.6185  1 Li 3.03, 5 Pr 3.17-3.28
Te: 0.7119 0.1896 0.3815  1 Li 3.03, 5 Pr 3.17-3.28
Te: 0.0934 0.6185 0.1896  1 Li 3.03, 5 Pr 3.17-3.28
Te: 0.5000 0.0000 0.0000  1 Li 3.00, 4 Pr 3.19

The volume comes out at 32.068 Å³ per atom. As for the space group: I4.


#2
# LiPr4Te5

A relaxed LiPr4Te5 crystal (PBE, the Alexandria database).

a = 4.5137 Å, b = 4.5137 Å, c = 16.2592 Å
α = 97.98°, β = 97.98°, γ = 90.00°
Closest atoms and distances in Å follow each position.
Fractional coordinates of all 10 atoms:
Li: 0.0000 0.0000 0.0000  6 Te 3.14-3.19
Pr: 0.4031 0.4031 0.8062  6 Te 3.09-3.22
Pr: 0.7980 0.7980 0.5960  6 Te 3.19-3.30
Pr: 0.2020 0.2020 0.4040  6 Te 3.19-3.30
Pr: 0.5969 0.5969 0.1938  6 Te 3.09-3.22
Te: 0.0986 0.0986 0.1971  1 Li 3.14, 5 Pr 3.19-3.30
Te: 0.5000 0.5000 0.0000  2 Pr 3.09, 4 Li 3.19
Te: 0.9014 0.9014 0.8029  1 Li 3.14, 5 Pr 3.19-3.30
Te: 0.3022 0.3022 0.6045  6 Pr 3.19-3.22
Te: 0.6978 0.6978 0.3955  6 Pr 3.19-3.22

The volume comes out at 32.481 Å³ per atom. As for the space group: I4/mmm.


The structure shown above that is least stable: #2.